--- a ---
Computed, not measured: a geometry-optimized TaCu2Ru structure at the PBE-GGA level of DFT.

Its space group is I-42d. The calculated density comes out at 11.2 Mg/m³.

abc: 5.5283 5.5283 5.5283
angles: 101.69 101.69 126.49
Positions (direct):
Ta 0.0000 0.0000 0.0000
Ta 0.7500 0.2500 0.5000
Cu 0.1331 0.1250 0.5081
Cu 0.3750 0.8669 0.9919
Cu 0.6169 0.6250 0.4919
Cu 0.8750 0.3831 0.0081
Ru 0.2500 0.7500 0.5000
Ru 0.5000 0.5000 0.0000

***

--- b ---
Computed, not measured: a geometry-optimized TaCu2Ru structure at the PBE-GGA level of DFT.

Its space group is Fm-3m. The calculated density comes out at 12.2 Mg/m³.

abc: 4.2875 4.2875 4.2875
angles: 60.00 60.00 60.00
Positions (direct):
Ta 0.0000 0.0000 0.0000
Cu 0.2500 0.2500 0.2500
Cu 0.7500 0.7500 0.7500
Ru 0.5000 0.5000 0.5000

***

--- c ---
Computed, not measured: a geometry-optimized TaCu2Ru structure at the PBE-GGA level of DFT.

Its space group is Cmmm. The calculated density comes out at 12.1 Mg/m³.

abc: 4.6256 4.6256 2.8592
angles: 90.00 90.00 113.01
Positions (direct):
Ta 0.0000 0.0000 0.0000
Cu 0.0000 0.5000 0.5000
Cu 0.5000 0.0000 0.5000
Ru 0.5000 0.5000 0.0000

***

Which one sits at the top of the stability order? c does.

***

--- a ---
Computed, not measured: a geometry-optimized Ta3CuRu structure at the PBE-GGA level of DFT.

Its space group is Pm-3m. The calculated density comes out at 12.3 Mg/m³.

abc: 4.5707 4.5707 4.5707
angles: 90.00 90.00 90.00
Positions (direct):
Ta 0.0000 0.0000 0.5000
Ta 0.0000 0.5000 0.0000
Ta 0.5000 0.0000 0.0000
Cu 0.0000 0.0000 0.0000
Ru 0.5000 0.5000 0.5000

***

--- b ---
Computed, not measured: a geometry-optimized Ta3CuRu structure at the PBE-GGA level of DFT.

Its space group is Pm-3m. The calculated density comes out at 10.8 Mg/m³.

abc: 4.7704 4.7704 4.7704
angles: 90.00 90.00 90.00
Positions (direct):
Ta 0.0000 0.0000 0.5000
Ta 0.0000 0.5000 0.0000
Ta 0.5000 0.0000 0.0000
Cu 0.5000 0.5000 0.5000
Ru 0.0000 0.0000 0.0000

***

Which one sits at the top of the stability order? b does.

***

--- a ---
Computed, not measured: a geometry-optimized TaCuRu structure at the PBE-GGA level of DFT.

Its space group is F-43m. The calculated density comes out at 10.8 Mg/m³.

abc: 4.2134 4.2134 4.2134
angles: 60.00 60.00 60.00
Positions (direct):
Ta 0.0000 0.0000 0.0000
Cu 0.5000 0.5000 0.5000
Ru 0.2500 0.2500 0.2500

***

--- b ---
Computed, not measured: a geometry-optimized TaCuRu structure at the PBE-GGA level of DFT.

Its space group is I4mm. The calculated density comes out at 12.9 Mg/m³.

abc: 4.7724 4.7724 4.7724
angles: 139.96 139.96 57.91
Positions (direct):
Ta 0.0000 0.0000 0.0000
Cu 0.3307 0.3307 0.0000
Ru 0.6598 0.6598 0.0000

***

--- c ---
Computed, not measured: a geometry-optimized TaCuRu structure at the PBE-GGA level of DFT.

Its space group is F-43m. The calculated density comes out at 10.8 Mg/m³.

abc: 4.2204 4.2204 4.2204
angles: 60.00 60.00 60.00
Positions (direct):
Ta 0.0000 0.0000 0.0000
Cu 0.7500 0.7500 0.7500
Ru 0.2500 0.2500 0.2500

***

--- d ---
Computed, not measured: a geometry-optimized TaCuRu structure at the PBE-GGA level of DFT.

Its space group is Cmcm. The calculated density comes out at 12.6 Mg/m³.

abc: 4.8531 4.8531 4.9457
angles: 90.00 90.00 128.38
Positions (direct):
Ta 0.2153 0.7847 0.7500
Ta 0.7847 0.2153 0.2500
Cu 0.5000 0.5000 0.0000
Cu 0.5000 0.5000 0.5000
Ru 0.1031 0.8969 0.2500
Ru 0.8969 0.1031 0.7500

***

Which one sits at the top of the stability order? b does.

***

--- a ---
Computed, not measured: a geometry-optimized TbCuRu structure at the PBE-GGA level of DFT.

Its space group is P-6m2. The calculated density comes out at 9.5 Mg/m³.

abc: 4.2573 4.2573 3.5990
angles: 90.00 90.00 120.00
Positions (direct):
Tb 0.0000 0.0000 0.0000
Cu 0.3333 0.6667 0.5000
Ru 0.6667 0.3333 0.5000

***

--- b ---
Computed, not measured: a geometry-optimized TbCuRu structure at the PBE-GGA level of DFT.

Its space group is Imma. The calculated density comes out at 10.3 Mg/m³.

abc: 5.3548 5.3548 5.3548
angles: 123.15 121.66 85.88
Positions (direct):
Tb 0.3770 0.1270 0.2500
Tb 0.6230 0.8730 0.7500
Cu 0.0000 0.0000 0.5000
Cu 0.0000 0.5000 0.0000
Ru 0.0000 0.5000 0.5000
Ru 0.5000 0.5000 0.0000

***

Which one sits at the top of the stability order? b does.

***

--- a ---
Computed, not measured: a geometry-optimized TbCuRu structure at the PBE-GGA level of DFT.

Its space group is C2/m. The calculated density comes out at 9.8 Mg/m³.

abc: 5.0087 5.0087 5.1475
angles: 106.10 106.10 64.60
Positions (direct):
Tb 0.1406 0.1406 0.3799
Tb 0.8594 0.8594 0.6201
Cu 0.0000 0.5000 0.0000
Cu 0.5000 0.0000 0.0000
Ru 0.4879 0.4879 0.7314
Ru 0.5121 0.5121 0.2686

***

--- b ---
Computed, not measured: a geometry-optimized TbCuRu structure at the PBE-GGA level of DFT.

Its space group is I4mm. The calculated density comes out at 10.0 Mg/m³.

abc: 5.2211 5.2211 5.2211
angles: 141.96 141.96 54.88
Positions (direct):
Tb 0.0000 0.0000 0.0000
Cu 0.6981 0.6981 0.0000
Ru 0.3149 0.3149 0.0000

***

Which one sits at the top of the stability order? b does.

***

--- a ---
Computed, not measured: a geometry-optimized CuTc2Ru structure at the PBE-GGA level of DFT.

Its space group is P4mm. The calculated density comes out at 10.8 Mg/m³.

abc: 3.0913 3.0913 5.8147
angles: 90.00 90.00 90.00
Positions (direct):
Cu 0.0000 0.0000 0.0000
Tc 0.0000 0.0000 0.5117
Tc 0.5000 0.5000 0.7612
Ru 0.5000 0.5000 0.2288

***

--- b ---
Computed, not measured: a geometry-optimized CuTc2Ru structure at the PBE-GGA level of DFT.

Its space group is Fm-3m. The calculated density comes out at 10.6 Mg/m³.

abc: 4.3003 4.3003 4.3003
angles: 60.00 60.00 60.00
Positions (direct):
Cu 0.0000 0.0000 0.0000
Tc 0.2500 0.2500 0.2500
Tc 0.7500 0.7500 0.7500
Ru 0.5000 0.5000 0.5000

***

Which one sits at the top of the stability order? a does.

***

--- a ---
Computed, not measured: a geometry-optimized CuTc2Ru structure at the PBE-GGA level of DFT.

Its space group is C2/m. The calculated density comes out at 10.7 Mg/m³.

abc: 4.7402 4.7402 4.5933
angles: 99.74 99.74 33.29
Positions (direct):
Cu 0.0000 0.0000 0.0000
Tc 0.2458 0.2458 0.7450
Tc 0.7542 0.7542 0.2550
Ru 0.5000 0.5000 0.5000

***

--- b ---
Computed, not measured: a geometry-optimized CuTc2Ru structure at the PBE-GGA level of DFT.

Its space group is P4/mmm. The calculated density comes out at 10.8 Mg/m³.

abc: 2.6951 2.6951 7.6309
angles: 90.00 90.00 90.00
Positions (direct):
Cu 0.0000 0.0000 0.0000
Tc 0.5000 0.5000 0.2481
Tc 0.5000 0.5000 0.7519
Ru 0.0000 0.0000 0.5000

***

--- c ---
Computed, not measured: a geometry-optimized CuTc2Ru structure at the PBE-GGA level of DFT.

Its space group is R-3m. The calculated density comes out at 10.7 Mg/m³.

abc: 8.9452 8.9452 8.9452
angles: 17.45 17.45 17.45
Positions (direct):
Cu 0.0000 0.0000 0.0000
Tc 0.2494 0.2494 0.2494
Tc 0.7506 0.7506 0.7506
Ru 0.5000 0.5000 0.5000

***

--- d ---
Computed, not measured: a geometry-optimized CuTc2Ru structure at the PBE-GGA level of DFT.

Its space group is I-4m2. The calculated density comes out at 10.8 Mg/m³.

abc: 4.6782 4.6782 4.6782
angles: 131.97 131.97 70.27
Positions (direct):
Cu 0.0000 0.0000 0.0000
Tc 0.2500 0.7500 0.5000
Tc 0.5000 0.5000 0.0000
Ru 0.7500 0.2500 0.5000

***

Which one sits at the top of the stability order? b does.

***

--- a ---
Computed, not measured: a geometry-optimized CuTc2Ru structure at the PBE-GGA level of DFT.

Its space group is P4mm. The calculated density comes out at 10.8 Mg/m³.

abc: 2.7208 2.7208 7.5199
angles: 90.00 90.00 90.00
Positions (direct):
Cu 0.0000 0.0000 0.0000
Tc 0.0000 0.0000 0.4851
Tc 0.5000 0.5000 0.7551
Ru 0.5000 0.5000 0.2472

***

--- b ---
Computed, not measured: a geometry-optimized CuTc2Ru structure at the PBE-GGA level of DFT.

Its space group is Cm. The calculated density comes out at 10.7 Mg/m³.

abc: 4.6984 4.6984 4.6613
angles: 99.20 99.20 33.34
Positions (direct):
Cu 0.0000 0.0000 0.0000
Tc 0.5039 0.5039 0.5031
Tc 0.7542 0.7542 0.2514
Ru 0.2441 0.2441 0.7466

***

--- c ---
Computed, not measured: a geometry-optimized CuTc2Ru structure at the PBE-GGA level of DFT.

Its space group is I-42d. The calculated density comes out at 9.7 Mg/m³.

abc: 5.5433 5.5433 5.5433
angles: 102.27 102.27 125.10
Positions (direct):
Cu 0.0000 0.0000 0.0000
Cu 0.7500 0.2500 0.5000
Tc 0.1484 0.6250 0.0234
Tc 0.3750 0.3984 0.5234
Tc 0.6016 0.1250 0.9766
Tc 0.8750 0.8516 0.4766
Ru 0.2500 0.7500 0.5000
Ru 0.5000 0.5000 0.0000

***

Which one sits at the top of the stability order? a does.

***

--- a ---
Computed, not measured: a geometry-optimized CuTc2Ru structure at the PBE-GGA level of DFT.

Its space group is Cmmm. The calculated density comes out at 10.5 Mg/m³.

abc: 2.6344 2.6344 9.0551
angles: 90.00 90.00 115.20
Positions (direct):
Cu 0.0000 0.0000 0.0000
Tc 0.5000 0.5000 0.2505
Tc 0.5000 0.5000 0.7495
Ru 0.0000 0.0000 0.5000

***

--- b ---
Computed, not measured: a geometry-optimized CuTc2Ru structure at the PBE-GGA level of DFT.

Its space group is P4/mmm. The calculated density comes out at 10.6 Mg/m³.

abc: 4.5429 4.5429 2.7297
angles: 90.00 90.00 90.00
Positions (direct):
Cu 0.0000 0.0000 0.0000
Tc 0.0000 0.5000 0.5000
Tc 0.5000 0.0000 0.5000
Ru 0.5000 0.5000 0.0000

***

--- c ---
Computed, not measured: a geometry-optimized CuTc2Ru structure at the PBE-GGA level of DFT.

Its space group is Cmm2. The calculated density comes out at 10.5 Mg/m³.

abc: 2.6433 2.6433 9.0114
angles: 90.00 90.00 115.29
Positions (direct):
Cu 0.0000 0.0000 0.0000
Tc 0.0000 0.0000 0.5006
Tc 0.5000 0.5000 0.2504
Ru 0.5000 0.5000 0.7510

***

Which one sits at the top of the stability order? c does.

***

--- a ---
Computed, not measured: a geometry-optimized CuTcRu2 structure at the PBE-GGA level of DFT.

Its space group is Pmmm. The calculated density comes out at 11.0 Mg/m³.

abc: 2.7175 3.7913 5.3254
angles: 90.00 90.00 90.00
Positions (direct):
Cu 0.0000 0.0000 0.0000
Tc 0.0000 0.0000 0.5000
Ru 0.5000 0.5000 0.2460
Ru 0.5000 0.5000 0.7540

***

--- b ---
Computed, not measured: a geometry-optimized CuTcRu2 structure at the PBE-GGA level of DFT.

Its space group is Cm. The calculated density comes out at 11.0 Mg/m³.

abc: 4.6972 4.6972 4.5983
angles: 99.53 99.53 33.48
Positions (direct):
Cu 0.0000 0.0000 0.0000
Tc 0.7547 0.7547 0.2605
Ru 0.2456 0.2456 0.7584
Ru 0.5045 0.5045 0.4983

***

Which one sits at the top of the stability order? a does.

***

--- a ---
Computed, not measured: a geometry-optimized CuTcRu2 structure at the PBE-GGA level of DFT.

Its space group is P4/mmm. The calculated density comes out at 11.0 Mg/m³.

abc: 2.7406 2.7406 7.3201
angles: 90.00 90.00 90.00
Positions (direct):
Cu 0.0000 0.0000 0.0000
Tc 0.0000 0.0000 0.5000
Ru 0.5000 0.5000 0.2468
Ru 0.5000 0.5000 0.7532

***

--- b ---
Computed, not measured: a geometry-optimized CuTcRu2 structure at the PBE-GGA level of DFT.

Its space group is I-4m2. The calculated density comes out at 11.0 Mg/m³.

abc: 4.7826 4.7826 4.7826
angles: 134.49 134.49 66.32
Positions (direct):
Cu 0.0000 0.0000 0.0000
Tc 0.2500 0.7500 0.5000
Ru 0.5000 0.5000 0.0000
Ru 0.7500 0.2500 0.5000

***

Which one sits at the top of the stability order? a does.